Material: Tc2NiGe2
Method: DFT, PBE-GGA
State: relaxed

Energy above the most stable polymorph in this dataset   0.018 eV/atom
Space-group type   P4/mbm (127)
M_tot   0.77 Bohr magnetons per cell

a = 6.755 Å, b = 6.755 Å, c = 3.263 Å
α = 90.00°, β = 90.00°, γ = 90.00°
Positions (direct):
Tc1 0.357 0.857 0.000
Tc2 0.143 0.357 0.000
Tc3 0.643 0.143 0.000
Tc4 0.857 0.643 0.000
Ge1 0.657 0.843 0.500
Ge2 0.157 0.657 0.500
Ge3 0.343 0.157 0.500
Ge4 0.843 0.343 0.500
Ni1 0.500 0.500 0.000
Ni2 0.000 0.000 0.000